No. 1
Density functional theory data (GGA-PBE) for a relaxed Y2HgO4 crystal.

polymorph energy (0 for the lowest one)	7.87	kJ/mol of atoms
SG	No. 227

Unit cell a=6.8102 b=6.8102 c=6.8102 alpha=60.00 beta=60.00 gamma=60.00
Element x y z (fractional)
Y (0.0000, 0.0000, 0.0000)
Y (0.0000, 0.0000, 0.5000)
Y (0.0000, 0.5000, 0.0000)
Y (0.5000, 0.0000, 0.0000)
Hg (0.3750, 0.3750, 0.3750)
Hg (0.6250, 0.6250, 0.6250)
O (0.2071, 0.7643, 0.7643)
O (0.2357, 0.2357, 0.2357)
O (0.2357, 0.2357, 0.7929)
O (0.2357, 0.7929, 0.2357)
O (0.7643, 0.2071, 0.7643)
O (0.7643, 0.7643, 0.2071)
O (0.7643, 0.7643, 0.7643)
O (0.7929, 0.2357, 0.2357)

No. 2
Density functional theory data (GGA-PBE) for a relaxed TaZnCuPb crystal.

polymorph energy (0 for the lowest one)	0.00	kJ/mol of atoms
SG	No. 216

Unit cell a=4.6995 b=4.6995 c=4.6995 alpha=60.00 beta=60.00 gamma=60.00
Element x y z (fractional)
Ta (0.0000, 0.0000, 0.0000)
Zn (0.7500, 0.7500, 0.7500)
Cu (0.5000, 0.5000, 0.5000)
Pb (0.2500, 0.2500, 0.2500)

No. 3
Density functional theory data (GGA-PBE) for a relaxed SrLuU crystal.

polymorph energy (0 for the lowest one)	0.00	kJ/mol of atoms
SG	No. 216

Unit cell a=5.5968 b=5.5968 c=5.5968 alpha=60.00 beta=60.00 gamma=60.00
Element x y z (fractional)
Sr (0.0000, 0.0000, 0.0000)
Lu (0.2500, 0.2500, 0.2500)
U (0.5000, 0.5000, 0.5000)

No. 4
Density functional theory data (GGA-PBE) for a relaxed Be2AlCu crystal.

SG	No. 216

Unit cell a=3.9572 b=3.9572 c=3.9572 alpha=60.00 beta=60.00 gamma=60.00
Element x y z (fractional)
Be (0.0000, 0.0000, 0.0000)
Be (0.2500, 0.2500, 0.2500)
Al (0.5000, 0.5000, 0.5000)
Cu (0.7500, 0.7500, 0.7500)

For reference, raw total energy by record: -7.2536; -4.4679; -4.3752; -3.6124 eV/atom.